## Ni7MoRh2 (PBE)

Data for Ni7MoRh2 after structural relaxation.

abc: 4.229 6.679 6.679
angles: 120.56 71.55 71.55
Each line ends with the local moment (μB).
Positions (direct):
Ni (0.000, 0.617, 0.383)  0.51
Ni (0.000, 0.383, 0.617)  0.51
Ni (0.745, 0.067, 0.443)  0.29
Ni (0.255, 0.933, 0.557)  0.29
Ni (0.745, 0.443, 0.067)  0.29
Ni (0.255, 0.557, 0.933)  0.29
Ni (0.500, 0.500, 0.500)  0.20
Mo (0.000, 0.000, 0.000)  -0.06
Rh (0.500, 0.879, 0.121)  0.19
Rh (0.500, 0.121, 0.879)  0.19

Properties
DFT total energy (hartree per atom): -0.238
D(E_F) (states/eV/cell): 18.15
Space-group type: Immm (71)